4
Lattice="1.671 -2.829 0.000 1.671 2.829 0.000 0.000 0.000 10.865" Properties=species:S:1:pos:R:3 comment="TeMoBr2 (PBE-GGA, relaxed)" crystal_system=orthorhombic vol_a3_per_fu=103 polymorph_energy_ev_per_atom=0.537 formation_energy_uncorrected_ev_per_fu=1.30 sg=Cmm2 pbc="T T T"
Te 0.000 0.000 0.000
Mo 1.671 0.000 2.186
Br 0.000 0.000 4.175
Br 1.671 0.000 7.615